5
Lattice="5.3216 0.0000 0.0000 0.0000 5.3216 0.0000 0.0000 0.0000 5.3216" Properties=species:S:1:pos:R:3 comment="CsKPd3, PBEsol geometry, DFT SCAN" delta_e_f_ev_per_atom=1.04 pbc="T T T"
Cs 0.0000 0.0000 0.0000
K 2.6608 2.6608 2.6608
Pd 0.0000 0.0000 2.6608
Pd 0.0000 2.6608 0.0000
Pd 2.6608 0.0000 0.0000

---

5
Lattice="-2.0275 2.0275 7.6570 2.0275 -2.0275 7.6570 2.0275 2.0275 -7.6570" Properties=species:S:1:pos:R:3 comment="CdHg4, PBEsol geometry, DFT SCAN" delta_e_f_ev_per_atom=0.08 pbc="T T T"
Cd 0.0000 0.0000 0.0000
Hg 2.0275 0.0000 3.8285
Hg 0.0000 0.0000 6.2244
Hg 0.0000 0.0000 9.0896
Hg 0.0000 2.0275 3.8285

---

4
Lattice="4.4518 -1.3541 0.0000 4.4518 1.3541 0.0000 -0.6293 0.0000 4.9811" Properties=species:S:1:pos:R:3 comment="CdCuRe2, PBEsol geometry, DFT SCAN" delta_e_f_ev_per_atom=0.45 pbc="T T T"
Cd 0.0000 0.0000 0.0000
Cu 1.7162 0.0000 3.9221
Re 4.1963 0.0000 2.5168
Re 6.5222 0.0000 1.5813

---

4
Lattice="4.7319 -1.3641 0.0000 4.7319 1.3641 0.0000 -1.7688 0.0000 4.0397" Properties=species:S:1:pos:R:3 comment="AlCu, PBEsol geometry, DFT SCAN" delta_e_f_ev_per_atom=-0.23 pbc="T T T"
Al 0.5753 0.0000 1.2194
Al 7.1198 0.0000 2.8203
Cu 3.1396 0.0000 0.7946
Cu 4.5554 0.0000 3.2452

---

4
Lattice="4.4243 -2.1105 0.0000 4.4243 2.1105 0.0000 -2.1428 0.0000 5.7271" Properties=species:S:1:pos:R:3 comment="SrIn2Si, PBEsol geometry, DFT SCAN" e_form_raw_ev_per_atom=-0.189 pbc="T T T"
Sr 0.0000 0.0000 0.0000
In 0.5609 0.0000 3.7918
In 3.1788 0.0000 2.5402
Si 5.8822 0.0000 1.9135

---

5
Lattice="5.2765 0.0000 0.0000 0.0000 5.2765 0.0000 0.0000 0.0000 5.2765" Properties=species:S:1:pos:R:3 comment="CsCd3Pd, PBEsol geometry, DFT SCAN" delta_e_f_ev_per_atom=-0.20 pbc="T T T"
Cs 0.0000 0.0000 0.0000
Cd 0.0000 2.6382 2.6382
Cd 2.6382 0.0000 2.6382
Cd 2.6382 2.6382 0.0000
Pd 2.6382 2.6382 2.6382

---

D(E_F) across the listed records, respectively: 1.13 1.39 1.89 0.99 1.30 1.75 states/eV per cell.